A plane-wave DFT calculation with PBE-GGA was carried out for AcTmSe2O after structural relaxation.

As for the space group: No. 129. As for the uncorrected formation energy: -2.414 eV per atom.

Unit cell a=4.1455 b=4.1455 c=14.6637 alpha=90.00 beta=90.00 gamma=90.00
Atoms (fractional coordinates):
Ac (0.2500, 0.2500, 0.0904)
Ac (0.7500, 0.7500, 0.9096)
Tm (0.2500, 0.2500, 0.6155)
Tm (0.7500, 0.7500, 0.3845)
Se (0.2500, 0.2500, 0.4111)
Se (0.2500, 0.2500, 0.7920)
Se (0.7500, 0.7500, 0.2080)
Se (0.7500, 0.7500, 0.5889)
O (0.2500, 0.7500, 0.0000)
O (0.7500, 0.2500, 0.0000)

A plane-wave DFT calculation with PBE-GGA was carried out for SrFeRu after structural relaxation.

As for the space group: No. 62. The distance to the lowest polymorph of the same formula is 0.68 eV per formula unit.

Unit cell a=6.1483 b=4.2092 c=11.0630 alpha=90.00 beta=90.00 gamma=90.00
Atoms (fractional coordinates):
Sr (0.1344, 0.2500, 0.1395)
Sr (0.3656, 0.7500, 0.6395)
Sr (0.6344, 0.2500, 0.3605)
Sr (0.8656, 0.7500, 0.8605)
Fe (0.0834, 0.7500, 0.3801)
Fe (0.4166, 0.2500, 0.8801)
Fe (0.5834, 0.7500, 0.1199)
Fe (0.9166, 0.2500, 0.6199)
Ru (0.1437, 0.2500, 0.4501)
Ru (0.3563, 0.7500, 0.9501)
Ru (0.6437, 0.2500, 0.0499)
Ru (0.8563, 0.7500, 0.5499)

A plane-wave DFT calculation with PBE-GGA was carried out for MnTlAu2 after structural relaxation.

As for the space group: No. 122. The distance to the lowest polymorph of the same formula is 1.06 eV per formula unit.

Unit cell a=4.0393 b=4.0393 c=20.1362 alpha=90.00 beta=90.00 gamma=90.00
Atoms (fractional coordinates):
Mn (0.0000, 0.0000, 0.0000)
Mn (0.0000, 0.5000, 0.2500)
Mn (0.5000, 0.0000, 0.7500)
Mn (0.5000, 0.5000, 0.5000)
Tl (0.0000, 0.0000, 0.5000)
Tl (0.0000, 0.5000, 0.7500)
Tl (0.5000, 0.0000, 0.2500)
Tl (0.5000, 0.5000, 0.0000)
Au (0.2400, 0.2500, 0.1250)
Au (0.2500, 0.7400, 0.3750)
Au (0.2500, 0.7600, 0.8750)
Au (0.2600, 0.2500, 0.6250)
Au (0.7400, 0.7500, 0.6250)
Au (0.7500, 0.2400, 0.8750)
Au (0.7500, 0.2600, 0.3750)
Au (0.7600, 0.7500, 0.1250)

A plane-wave DFT calculation with PBE-GGA was carried out for AlNiIr2 after structural relaxation.

As for the space group: No. 160.

Unit cell a=2.7480 b=2.7480 c=24.9773 alpha=90.00 beta=90.00 gamma=120.00
Atoms (fractional coordinates):
Al (0.0000, 0.0000, 0.0000)
Al (0.3333, 0.6667, 0.6667)
Al (0.6667, 0.3333, 0.3333)
Ni (0.0000, 0.0000, 0.7431)
Ni (0.3333, 0.6667, 0.4098)
Ni (0.6667, 0.3333, 0.0765)
Ir (0.0000, 0.0000, 0.2505)
Ir (0.0000, 0.0000, 0.4937)
Ir (0.3333, 0.6667, 0.1603)
Ir (0.3333, 0.6667, 0.9172)
Ir (0.6667, 0.3333, 0.5839)
Ir (0.6667, 0.3333, 0.8270)

A plane-wave DFT calculation with PBE-GGA was carried out for PtPb2 after structural relaxation.

As for the space group: No. 194.

Unit cell a=6.3681 b=6.3681 c=10.8084 alpha=90.00 beta=90.00 gamma=120.00
Atoms (fractional coordinates):
Pt (0.3333, 0.6667, 0.0539)
Pt (0.3333, 0.6667, 0.4461)
Pt (0.6667, 0.3333, 0.5539)
Pt (0.6667, 0.3333, 0.9461)
Pb (0.0000, 0.0000, 0.0000)
Pb (0.0000, 0.0000, 0.5000)
Pb (0.1673, 0.3346, 0.2500)
Pb (0.1673, 0.8327, 0.2500)
Pb (0.3346, 0.1673, 0.7500)
Pb (0.6654, 0.8327, 0.2500)
Pb (0.8327, 0.1673, 0.7500)
Pb (0.8327, 0.6654, 0.7500)

A plane-wave DFT calculation with PBE-GGA was carried out for Ac5La2 after structural relaxation.

As for the space group: No. 166. The distance to the lowest polymorph of the same formula is 0.16 eV per formula unit.

Unit cell a=9.5569 b=9.5569 c=9.5569 alpha=38.38 beta=38.38 gamma=38.38
Atoms (fractional coordinates):
Ac (0.0000, 0.0000, 0.0000)
Ac (0.2701, 0.2701, 0.2701)
Ac (0.4215, 0.4215, 0.4215)
Ac (0.5785, 0.5785, 0.5785)
Ac (0.7299, 0.7299, 0.7299)
La (0.1367, 0.1367, 0.1367)
La (0.8633, 0.8633, 0.8633)

A plane-wave DFT calculation with PBE-GGA was carried out for NaEuCuAg after structural relaxation.

As for the space group: No. 216.

Unit cell a=7.3075 b=7.3075 c=7.3075 alpha=90.00 beta=90.00 gamma=90.00
Atoms (fractional coordinates):
Na (0.0000, 0.0000, 0.0000)
Na (0.0000, 0.5000, 0.5000)
Na (0.5000, 0.0000, 0.5000)
Na (0.5000, 0.5000, 0.0000)
Eu (0.0000, 0.0000, 0.5000)
Eu (0.0000, 0.5000, 0.0000)
Eu (0.5000, 0.0000, 0.0000)
Eu (0.5000, 0.5000, 0.5000)
Cu (0.2500, 0.2500, 0.2500)
Cu (0.2500, 0.7500, 0.7500)
Cu (0.7500, 0.2500, 0.7500)
Cu (0.7500, 0.7500, 0.2500)
Ag (0.2500, 0.2500, 0.7500)
Ag (0.2500, 0.7500, 0.2500)
Ag (0.7500, 0.2500, 0.2500)
Ag (0.7500, 0.7500, 0.7500)

A plane-wave DFT calculation with PBE-GGA was carried out for PrSmI6 after structural relaxation.

As for the space group: No. 12. The distance to the lowest polymorph of the same formula is 0.00 eV per formula unit. As for the uncorrected formation energy: -1.373 eV per atom.

Unit cell a=7.6857 b=14.7123 c=7.6841 alpha=90.00 beta=107.99 gamma=90.00
Atoms (fractional coordinates):
Pr (0.0000, 0.0000, 0.0000)
Pr (0.5000, 0.5000, 0.0000)
Sm (0.0000, 0.5000, 0.5000)
Sm (0.5000, 0.0000, 0.5000)
I (0.2456, 0.3524, 0.7458)
I (0.2456, 0.6476, 0.7458)
I (0.2476, 0.5000, 0.2517)
I (0.2524, 0.0000, 0.7483)
I (0.2544, 0.1476, 0.2542)
I (0.2544, 0.8524, 0.2542)
I (0.7456, 0.1476, 0.7458)
I (0.7456, 0.8524, 0.7458)
I (0.7476, 0.0000, 0.2517)
I (0.7524, 0.5000, 0.7483)
I (0.7544, 0.3524, 0.2542)
I (0.7544, 0.6476, 0.2542)

A plane-wave DFT calculation with PBE-GGA was carried out for PrCu2Br8 after structural relaxation.

As for the space group: No. 97. As for the uncorrected formation energy: -0.746 eV per atom.

Unit cell a=8.0749 b=8.0749 c=8.0749 alpha=126.56 beta=126.56 gamma=78.97
Atoms (fractional coordinates):
Pr (0.0000, 0.0000, 0.0000)
Cu (0.2500, 0.7500, 0.5000)
Cu (0.7500, 0.2500, 0.5000)
Br (0.0541, 0.5556, 0.8444)
Br (0.2096, 0.0541, 0.4984)
Br (0.2888, 0.4444, 0.4984)
Br (0.4444, 0.9459, 0.1556)
Br (0.5556, 0.7112, 0.5016)
Br (0.7112, 0.2096, 0.1556)
Br (0.7904, 0.2888, 0.8444)
Br (0.9459, 0.7904, 0.5016)

A plane-wave DFT calculation with PBE-GGA was carried out for HfSn2Mo2 after structural relaxation.

As for the space group: No. 139. The distance to the lowest polymorph of the same formula is 1.20 eV per formula unit.

Unit cell a=5.0798 b=5.0798 c=8.3604 alpha=90.00 beta=90.00 gamma=90.00
Atoms (fractional coordinates):
Hf (0.0000, 0.0000, 0.0000)
Hf (0.5000, 0.5000, 0.5000)
Sn (0.0000, 0.5000, 0.2500)
Sn (0.0000, 0.5000, 0.7500)
Sn (0.5000, 0.0000, 0.2500)
Sn (0.5000, 0.0000, 0.7500)
Mo (0.0000, 0.0000, 0.3671)
Mo (0.0000, 0.0000, 0.6329)
Mo (0.5000, 0.5000, 0.1329)
Mo (0.5000, 0.5000, 0.8671)

A plane-wave DFT calculation with PBE-GGA was carried out for CaSnO2F after structural relaxation.

As for the space group: No. 123. As for the uncorrected formation energy: -1.944 eV per atom.

Unit cell a=4.2810 b=4.2810 c=4.3554 alpha=90.00 beta=90.00 gamma=90.00
Atoms (fractional coordinates):
Ca (0.0000, 0.0000, 0.0000)
Sn (0.5000, 0.5000, 0.5000)
O (0.0000, 0.5000, 0.5000)
O (0.5000, 0.0000, 0.5000)
F (0.5000, 0.5000, 0.0000)

A plane-wave DFT calculation with PBE-GGA was carried out for UAlCo after structural relaxation.

As for the space group: No. 74.

Unit cell a=5.0900 b=5.3967 c=6.8926 alpha=90.00 beta=90.00 gamma=90.00
Atoms (fractional coordinates):
U (0.0000, 0.2500, 0.1567)
U (0.0000, 0.7500, 0.8433)
U (0.5000, 0.2500, 0.3433)
U (0.5000, 0.7500, 0.6567)
Al (0.2500, 0.2500, 0.7500)
Al (0.2500, 0.7500, 0.2500)
Al (0.7500, 0.2500, 0.7500)
Al (0.7500, 0.7500, 0.2500)
Co (0.0000, 0.0000, 0.5000)
Co (0.0000, 0.5000, 0.5000)
Co (0.5000, 0.0000, 0.0000)
Co (0.5000, 0.5000, 0.0000)

A plane-wave DFT calculation with PBE-GGA was carried out for RbTlCl3 after structural relaxation.

As for the space group: No. 119. As for the uncorrected formation energy: -1.080 eV per atom.

Unit cell a=13.0503 b=13.0503 c=13.0503 alpha=154.75 beta=154.75 gamma=36.00
Atoms (fractional coordinates):
Rb (0.0900, 0.0900, 0.0000)
Rb (0.9100, 0.9100, 0.0000)
Tl (0.5000, 0.5000, 0.0000)
Tl (0.7500, 0.2500, 0.5000)
Cl (0.0194, 0.5194, 0.5000)
Cl (0.1132, 0.3595, 0.7537)
Cl (0.4806, 0.9806, 0.5000)
Cl (0.6058, 0.3595, 0.2463)
Cl (0.6405, 0.3942, 0.7537)
Cl (0.6405, 0.8868, 0.2463)

A plane-wave DFT calculation with PBE-GGA was carried out for GdBeAu after structural relaxation.

As for the space group: No. 187.

Unit cell a=4.2309 b=4.2309 c=3.8467 alpha=90.00 beta=90.00 gamma=120.00
Atoms (fractional coordinates):
Gd (0.0000, 0.0000, 0.0000)
Be (0.6667, 0.3333, 0.5000)
Au (0.3333, 0.6667, 0.5000)

A plane-wave DFT calculation with PBE-GGA was carried out for Cs2CdPt after structural relaxation.

As for the space group: No. 122. The distance to the lowest polymorph of the same formula is 0.20 eV per formula unit.

Unit cell a=12.5259 b=12.5259 c=5.3544 alpha=90.00 beta=90.00 gamma=90.00
Atoms (fractional coordinates):
Cs (0.0864, 0.2500, 0.1250)
Cs (0.2500, 0.5864, 0.3750)
Cs (0.2500, 0.9136, 0.8750)
Cs (0.4136, 0.2500, 0.6250)
Cs (0.5864, 0.7500, 0.6250)
Cs (0.7500, 0.0864, 0.8750)
Cs (0.7500, 0.4136, 0.3750)
Cs (0.9136, 0.7500, 0.1250)
Cd (0.0000, 0.0000, 0.5000)
Cd (0.0000, 0.5000, 0.7500)
Cd (0.5000, 0.0000, 0.2500)
Cd (0.5000, 0.5000, 0.0000)
Pt (0.0000, 0.0000, 0.0000)
Pt (0.0000, 0.5000, 0.2500)
Pt (0.5000, 0.0000, 0.7500)
Pt (0.5000, 0.5000, 0.5000)

A plane-wave DFT calculation with PBE-GGA was carried out for SmAlIr after structural relaxation.

As for the space group: No. 146.

Unit cell a=5.8736 b=5.8736 c=5.8736 alpha=78.79 beta=78.79 gamma=78.79
Atoms (fractional coordinates):
Sm (0.0004, 0.6640, 0.3356)
Sm (0.3356, 0.0004, 0.6640)
Sm (0.6640, 0.3356, 0.0004)
Al (0.1655, 0.4998, 0.8348)
Al (0.4998, 0.8348, 0.1655)
Al (0.8348, 0.1655, 0.4998)
Ir (0.1518, 0.1518, 0.1518)
Ir (0.5044, 0.5044, 0.5044)
Ir (0.8440, 0.8440, 0.8440)

A plane-wave DFT calculation with PBE-GGA was carried out for LaTb2Pm5Th after structural relaxation.

As for the space group: No. 36.

Unit cell a=10.5442 b=10.5442 c=10.6238 alpha=90.00 beta=90.00 gamma=148.45
Atoms (fractional coordinates):
La (0.0858, 0.9142, 0.5000)
La (0.9142, 0.0858, 0.0000)
Tb (0.3846, 0.6154, 0.3728)
Tb (0.3867, 0.6133, 0.7870)
Tb (0.6133, 0.3867, 0.2870)
Tb (0.6154, 0.3846, 0.8728)
Pm (0.0217, 0.9783, 0.7926)
Pm (0.1138, 0.8862, 0.0799)
Pm (0.2069, 0.7931, 0.7576)
Pm (0.2225, 0.7775, 0.3698)
Pm (0.4839, 0.5161, 0.0781)
Pm (0.5161, 0.4839, 0.5781)
Pm (0.7775, 0.2225, 0.8698)
Pm (0.7931, 0.2069, 0.2576)
Pm (0.8862, 0.1138, 0.5799)
Pm (0.9783, 0.0217, 0.2926)
Th (0.3001, 0.6999, 0.0668)
Th (0.6999, 0.3001, 0.5668)

A plane-wave DFT calculation with PBE-GGA was carried out for Dy2Ga2Co2C after structural relaxation.

As for the space group: No. 12.

Unit cell a=10.7811 b=3.9635 c=6.8980 alpha=90.00 beta=128.55 gamma=90.00
Atoms (fractional coordinates):
Dy (0.0535, 0.0000, 0.2839)
Dy (0.4465, 0.5000, 0.7161)
Dy (0.5535, 0.5000, 0.2839)
Dy (0.9465, 0.0000, 0.7161)
Ga (0.1610, 0.5000, 0.7077)
Ga (0.3390, 0.0000, 0.2923)
Ga (0.6610, 0.0000, 0.7077)
Ga (0.8390, 0.5000, 0.2923)
Co (0.1936, 0.5000, 0.0889)
Co (0.3064, 0.0000, 0.9111)
Co (0.6936, 0.0000, 0.0889)
Co (0.8064, 0.5000, 0.9111)
C (0.0000, 0.5000, 0.0000)
C (0.5000, 0.0000, 0.0000)

A plane-wave DFT calculation with PBE-GGA was carried out for SmHo2Hg after structural relaxation.

As for the space group: No. 123. The distance to the lowest polymorph of the same formula is 0.32 eV per formula unit.

Unit cell a=4.8322 b=4.8322 c=4.7961 alpha=90.00 beta=90.00 gamma=90.00
Atoms (fractional coordinates):
Sm (0.0000, 0.0000, 0.0000)
Ho (0.0000, 0.5000, 0.5000)
Ho (0.5000, 0.0000, 0.5000)
Hg (0.5000, 0.5000, 0.0000)

A plane-wave DFT calculation with PBE-GGA was carried out for Ce6InRu2 after structural relaxation.

As for the space group: No. 12. The distance to the lowest polymorph of the same formula is 0.00 eV per formula unit.

Unit cell a=5.8004 b=5.8004 c=8.8219 alpha=93.01 beta=93.01 gamma=48.26
Atoms (fractional coordinates):
Ce (0.0654, 0.0654, 0.3661)
Ce (0.2921, 0.2921, 0.8939)
Ce (0.4019, 0.4019, 0.3209)
Ce (0.5981, 0.5981, 0.6791)
Ce (0.7079, 0.7079, 0.1061)
Ce (0.9346, 0.9346, 0.6339)
In (0.0000, 0.0000, 0.0000)
Ru (0.2621, 0.2621, 0.6194)
Ru (0.7379, 0.7379, 0.3806)

A plane-wave DFT calculation with PBE-GGA was carried out for YPBr2 after structural relaxation.

As for the space group: No. 119. The distance to the lowest polymorph of the same formula is 2.37 eV per formula unit. As for the uncorrected formation energy: -0.513 eV per atom.

Unit cell a=4.2904 b=4.2904 c=9.9729 alpha=90.00 beta=90.00 gamma=90.00
Atoms (fractional coordinates):
Y (0.0000, 0.0000, 0.0000)
Y (0.5000, 0.5000, 0.5000)
P (0.0000, 0.5000, 0.2500)
P (0.5000, 0.0000, 0.7500)
Br (0.0000, 0.0000, 0.5000)
Br (0.0000, 0.5000, 0.7500)
Br (0.5000, 0.0000, 0.2500)
Br (0.5000, 0.5000, 0.0000)

A plane-wave DFT calculation with PBE-GGA was carried out for Cd2CuHg after structural relaxation.

As for the space group: No. 6.

Unit cell a=3.2652 b=4.4491 c=5.7627 alpha=90.00 beta=104.78 gamma=90.00
Atoms (fractional coordinates):
Cd (0.0000, 0.0000, 0.0000)
Cd (0.3207, 0.5000, 0.6815)
Cu (0.5657, 0.5000, 0.1747)
Hg (0.7172, 0.0000, 0.4582)

A plane-wave DFT calculation with PBE-GGA was carried out for HfTiZnMo after structural relaxation.

As for the space group: No. 216. The distance to the lowest polymorph of the same formula is 0.28 eV per formula unit.

Unit cell a=6.4894 b=6.4894 c=6.4894 alpha=90.00 beta=90.00 gamma=90.00
Atoms (fractional coordinates):
Hf (0.0000, 0.0000, 0.0000)
Hf (0.0000, 0.5000, 0.5000)
Hf (0.5000, 0.0000, 0.5000)
Hf (0.5000, 0.5000, 0.0000)
Ti (0.0000, 0.0000, 0.5000)
Ti (0.0000, 0.5000, 0.0000)
Ti (0.5000, 0.0000, 0.0000)
Ti (0.5000, 0.5000, 0.5000)
Zn (0.2500, 0.2500, 0.7500)
Zn (0.2500, 0.7500, 0.2500)
Zn (0.7500, 0.2500, 0.2500)
Zn (0.7500, 0.7500, 0.7500)
Mo (0.2500, 0.2500, 0.2500)
Mo (0.2500, 0.7500, 0.7500)
Mo (0.7500, 0.2500, 0.7500)
Mo (0.7500, 0.7500, 0.2500)

A plane-wave DFT calculation with PBE-GGA was carried out for CaCeIn2Hg4 after structural relaxation.

As for the space group: No. 166.

Unit cell a=9.1057 b=9.1057 c=9.1057 alpha=33.29 beta=33.29 gamma=33.29
Atoms (fractional coordinates):
Ca (0.0000, 0.0000, 0.0000)
Ce (0.5000, 0.5000, 0.5000)
In (0.2499, 0.2499, 0.2499)
In (0.7501, 0.7501, 0.7501)
Hg (0.1229, 0.1229, 0.1229)
Hg (0.3734, 0.3734, 0.3734)
Hg (0.6266, 0.6266, 0.6266)
Hg (0.8771, 0.8771, 0.8771)

A plane-wave DFT calculation with PBE-GGA was carried out for ReNi2PtN after structural relaxation.

As for the space group: No. 123. As for the uncorrected formation energy: 0.080 eV per atom.

Unit cell a=3.9045 b=3.9045 c=3.9276 alpha=90.00 beta=90.00 gamma=90.00
Atoms (fractional coordinates):
Re (0.0000, 0.0000, 0.0000)
Ni (0.0000, 0.5000, 0.5000)
Ni (0.5000, 0.0000, 0.5000)
Pt (0.5000, 0.5000, 0.0000)
N (0.0000, 0.0000, 0.5000)

no.,E_tot (eV per atom)
1,-6.52
2,-5.96
3,-4.24
4,-7.02
5,-3.96
6,-4.22
7,-4.62
8,-3.72
9,-3.14
10,-7.46
11,-5.50
12,-7.65
13,-2.85
14,-7.51
15,-2.27
16,-6.49
17,-4.88
18,-6.05
19,-3.70
20,-6.63
21,-4.32
22,-1.44
23,-7.61
24,-2.20
25,-7.60